Zn2CuIr, relaxed, DFT PBE; DOS(E_F) = 1.6 states/eV/cell; SG = I-4m2 (119); uncorrected energy = -15.946 eV/cell
1.0
-4.621 0.080 0.693
-1.949 -3.936 -1.595
3.624 0.791 2.842
Zn Ir Cu
2 1 1
direct
0.000 0.000 0.000
0.250 0.750 0.500
0.750 0.250 0.500
0.500 0.500 0.000

***

ZnCuIr, relaxed, DFT PBE; DOS(E_F) = 3.2 states/eV/cell; SG = C2/m (12); uncorrected energy = -28.683 eV/cell
1.0
-5.186 -2.375 -1.342
2.809 -2.216 -1.406
-0.086 0.269 4.656
Zn Cu Ir
2 2 2
direct
0.561 0.348 0.991
0.389 0.514 0.497
0.722 0.178 0.492
0.228 0.684 0.996
0.057 0.849 0.499
0.894 0.013 0.989

***

ZnCuIr, relaxed, DFT PBE; DOS(E_F) = 3.4 states/eV/cell; SG = C2/m (12); uncorrected energy = -28.190 eV/cell
1.0
2.711 0.000 0.000
0.000 7.104 0.804
-1.355 -2.626 4.117
Ir Zn Cu
2 2 2
direct
0.630 0.866 0.261
0.370 0.134 0.739
0.120 0.190 0.240
0.880 0.810 0.760
0.625 0.495 0.250
0.375 0.505 0.750